Record 1
A relaxed structure of CuOs2Se. Source: Alexandria, functional GGA-PBE.

a b c (Å): 5.545 5.545 5.545
angles (deg): 149.63 135.09 55.18
Element x y z (fractional)
Se 0.750 0.250 0.500
Cu 0.250 0.750 0.500
Os 0.964 0.964 0.000
Os 0.536 0.536 0.000

raw formation energy: 0.657 eV per atom
spin magnetization: 0.00 Bohr magnetons per cell
D(E_F): 0.647 states/eV/atom

Record 2
A relaxed structure of PuHf7In3. Source: Alexandria, functional GGA-PBE.

a b c (Å): 5.162 7.562 7.562
angles (deg): 84.47 109.93 109.93
Last column: magnetic moment on the atom in μB.
Element x y z (fractional)
Hf 0.716 0.021 0.410  -0.06
Hf 0.797 0.796 0.796  0.12
Pu 0.500 0.500 0.500  5.21
In 0.000 0.785 0.215  -0.01
Hf 0.284 0.979 0.590  -0.06
Hf 0.000 0.500 0.500  0.12
Hf 0.203 0.204 0.204  0.12
In 0.000 0.215 0.785  -0.01
Hf 0.716 0.410 0.021  -0.06
In 0.500 0.000 0.000  -0.01
Hf 0.284 0.590 0.979  -0.06

spin magnetization: 5.46 Bohr magnetons per cell
ΔH_f (0 K): 0.264 eV per atom
D(E_F): 0.942 states/eV/atom

Record 3
A relaxed structure of BaWSe2. Source: Alexandria, functional GGA-PBE.

a b c (Å): 7.021 7.021 7.021
angles (deg): 34.67 34.67 34.67
Last column: magnetic moment on the atom in μB.
Element x y z (fractional)
Se 0.524 0.524 0.524  0.01
Ba 0.750 0.750 0.750  -0.02
Se 0.976 0.976 0.976  0.01
W 0.250 0.250 0.250  1.58

raw formation energy: -0.509 eV per atom
E above lowest polymorph: 0.000 eV per atom
spin magnetization: 2.01 Bohr magnetons per cell
D(E_F): 0.299 states/eV/atom